HgBO2F | PBE | relaxed

Geometry as CIF:
```
data_HgBO2F
_chemical_formula_sum 'Hg1 B1 O2 F1'
_cell_length_a 3.2103
_cell_length_b 3.2103
_cell_length_c 5.6785
_cell_angle_alpha 90.00
_cell_angle_beta 90.00
_cell_angle_gamma 90.00
_symmetry_space_group_name_H-M 'P 4/m m m'
_symmetry_Int_Tables_number 123
_symmetry_space_group_name_Hall '-P 4 2'
loop_
_atom_site_label
_atom_site_type_symbol
_atom_site_fract_x
_atom_site_fract_y
_atom_site_fract_z
Hg1 Hg 0.0000 0.0000 0.0000
B1 B 0.5000 0.5000 0.5000
O1 O 0.0000 0.5000 0.5000
F1 F 0.5000 0.5000 0.0000
```

Results
Total moment, μB per formula unit: 0.0
ΔE_f (raw), kcal/mol of atoms: -14.085
DOS at the Fermi energy, states/eV per cell: 0.891
Total energy, eV/atom: -4.36
Crystal system: tetragonal



HgBPbF6 | PBE | relaxed

Geometry as CIF:
```
data_HgBPbF6
_chemical_formula_sum 'Hg1 B1 Pb1 F6'
_cell_length_a 3.9281
_cell_length_b 6.8228
_cell_length_c 6.9295
_cell_angle_alpha 66.32
_cell_angle_beta 89.60
_cell_angle_gamma 89.61
_symmetry_space_group_name_H-M 'P 1'
_symmetry_Int_Tables_number 1
_symmetry_space_group_name_Hall 'P 1'
loop_
_atom_site_label
_atom_site_type_symbol
_atom_site_fract_x
_atom_site_fract_y
_atom_site_fract_z
Hg1 Hg 0.0000 0.0000 0.0000
B1 B 0.3431 0.9996 0.5009
Pb1 Pb 0.4652 0.4996 0.4998
F1 F 0.1502 0.1750 0.3662
F2 F 0.1504 0.8246 0.6357
F3 F 0.5477 0.0757 0.6266
F4 F 0.5510 0.9228 0.3751
F5 F 0.9811 0.3627 0.7376
F6 F 0.9851 0.6372 0.2616
```

Results
Total moment, μB per formula unit: 0.0
ΔE_f (raw), kcal/mol of atoms: -51.055
DOS at the Fermi energy, states/eV per cell: 3.383
Total energy, eV/atom: -4.65
Crystal system: triclinic



RbHgB2F8 | PBE | relaxed

Geometry as CIF:
```
data_RbHgB2F8
_chemical_formula_sum 'Rb3 Hg3 B6 F24'
_cell_length_a 5.3814
_cell_length_b 5.3814
_cell_length_c 23.4477
_cell_angle_alpha 90.00
_cell_angle_beta 90.00
_cell_angle_gamma 120.00
_symmetry_space_group_name_H-M 'R -3'
_symmetry_Int_Tables_number 148
_symmetry_space_group_name_Hall '-R 3'
loop_
_atom_site_label
_atom_site_type_symbol
_atom_site_fract_x
_atom_site_fract_y
_atom_site_fract_z
Rb1 Rb 0.0000 0.0000 0.0000
Hg1 Hg 0.0000 0.0000 0.5000
B1 B 0.0000 0.0000 0.2537
F1 F 0.0000 0.0000 0.3141
F2 F 0.0561 0.7835 0.7663
```

Results
Total moment, μB per formula unit: 1.0
ΔE_f (raw), kcal/mol of atoms: -60.064
DOS at the Fermi energy, states/eV per cell: 6.375
Total energy, eV/atom: -5.07
Crystal system: trigonal



Rb2HgBF6 | PBE | relaxed

Geometry as CIF:
```
data_Rb2HgBF6
_chemical_formula_sum 'Rb8 Hg4 B4 F24'
_cell_length_a 8.5519
_cell_length_b 8.5519
_cell_length_c 8.5519
_cell_angle_alpha 90.00
_cell_angle_beta 90.00
_cell_angle_gamma 90.00
_symmetry_space_group_name_H-M 'F m -3 m'
_symmetry_Int_Tables_number 225
_symmetry_space_group_name_Hall '-F 4 2 3'
loop_
_atom_site_label
_atom_site_type_symbol
_atom_site_fract_x
_atom_site_fract_y
_atom_site_fract_z
Rb1 Rb 0.2500 0.2500 0.2500
Hg1 Hg 0.0000 0.0000 0.0000
B1 B 0.0000 0.0000 0.5000
F1 F 0.0000 0.0000 0.3063
```

Results
Total moment, μB per formula unit: 0.0
ΔE_f (raw), kcal/mol of atoms: -49.358
DOS at the Fermi energy, states/eV per cell: 14.403
Total energy, eV/atom: -4.15
Crystal system: cubic